No. 1
Material: Th2BiRh
Method: DFT, PBE
State: optimized geometry

abc: 6.4717 4.2154 8.7780
angles: 90.00 109.18 90.00
Last column: nearest neighbours and their distance in Å.
Positions (direct):
Th (0.1578, 0.2500, 0.3932)  2 Rh 2.92
Th (0.2557, 0.7500, 0.0471)  3 Rh 2.91-3.03
Th (0.7443, 0.2500, 0.9529)  3 Rh 2.91-3.03
Th (0.8422, 0.7500, 0.6068)  2 Rh 2.92
Bi (0.3860, 0.7500, 0.6979)  2 Rh 3.12, 7 Th 3.30-3.44
Bi (0.6140, 0.2500, 0.3021)  2 Rh 3.12, 7 Th 3.30-3.44
Rh (0.1081, 0.2500, 0.8068)  5 Th 2.91-3.03, 2 Bi 3.12
Rh (0.8919, 0.7500, 0.1932)  5 Th 2.91-3.03, 2 Bi 3.12

## Properties
**Final energy**: -7.2212 eV/atom
**Energy relative to the lowest polymorph listed for this composition**: 14 meV/atom
**Spin magnetization**: 0.0 μB per cell
**V**: 28.27 Å³/atom
**Space group**: P2_1/m
**ΔH_f (0 K)**: -0.70 eV per atom

***

No. 2
Material: Y6CSe3N2
Method: DFT, PBE
State: optimized geometry

abc: 6.4294 6.4294 6.8742
angles: 98.95 98.95 120.01
Last column: nearest neighbours and their distance in Å.
Positions (direct):
Y (0.0994, 0.4329, 0.7986)  2 N 2.51-2.52, 1 C 2.52
Y (0.2333, 0.2333, 0.2010)  2 N 2.51, 1 C 2.51
Y (0.4329, 0.0994, 0.7986)  2 N 2.51-2.52, 1 C 2.52
Y (0.5671, 0.9006, 0.2014)  2 N 2.51-2.52, 1 C 2.52
Y (0.7667, 0.7667, 0.7990)  2 N 2.51, 1 C 2.51
Y (0.9006, 0.5671, 0.2014)  2 N 2.51-2.52, 1 C 2.52
C (0.5000, 0.5000, 0.0000)  6 Y 2.51-2.52
Se (0.0000, 0.0000, 0.5000)  6 Y 2.90
Se (0.3337, 0.6663, 0.5000)  6 Y 2.90
Se (0.6663, 0.3337, 0.5000)  6 Y 2.90
N (0.1666, 0.8334, 0.0000)  6 Y 2.51-2.52
N (0.8334, 0.1666, 0.0000)  6 Y 2.51-2.52

## Properties
**Final energy**: -7.8063 eV/atom
**Spin magnetization**: 0.0 μB per cell
**Formation energy without anion corrections**: -1.547 eV per atom
**V**: 19.49 Å³/atom
**Space group**: C2/m

***

No. 3
Material: CaPd
Method: DFT, PBE
State: optimized geometry

abc: 6.3488 7.0698 8.3800
angles: 90.00 90.00 90.00
Last column: nearest neighbours and their distance in Å.
Positions (direct):
Ca (0.1167, 0.0736, 0.0916)  5 Pd 2.91-3.09
Ca (0.1387, 0.3330, 0.7266)  5 Pd 2.88-3.09
Ca (0.3613, 0.6670, 0.2266)  5 Pd 2.88-3.09
Ca (0.3833, 0.9264, 0.5916)  5 Pd 2.91-3.09
Ca (0.6167, 0.4264, 0.9084)  5 Pd 2.91-3.09
Ca (0.6387, 0.1670, 0.2734)  5 Pd 2.88-3.09
Ca (0.8613, 0.8330, 0.7734)  5 Pd 2.88-3.09
Ca (0.8833, 0.5736, 0.4084)  5 Pd 2.91-3.09
Pd (0.0229, 0.4750, 0.0645)  2 Pd 2.77-2.80, 5 Ca 2.88-3.09
Pd (0.2219, 0.2909, 0.3765)  2 Pd 2.77-2.80, 5 Ca 2.92-3.07
Pd (0.2781, 0.7091, 0.8765)  2 Pd 2.77-2.80, 5 Ca 2.92-3.07
Pd (0.4771, 0.5250, 0.5645)  2 Pd 2.77-2.80, 5 Ca 2.88-3.09
Pd (0.5229, 0.0250, 0.9355)  2 Pd 2.77-2.80, 5 Ca 2.88-3.09
Pd (0.7219, 0.2091, 0.6235)  2 Pd 2.77-2.80, 5 Ca 2.92-3.07
Pd (0.7781, 0.7909, 0.1235)  2 Pd 2.77-2.80, 5 Ca 2.92-3.07
Pd (0.9771, 0.9750, 0.4355)  2 Pd 2.77-2.80, 5 Ca 2.88-3.09

## Properties
**Final energy**: -4.1469 eV/atom
**Spin magnetization**: 0.0 μB per cell
**V**: 23.51 Å³/atom
**Space group**: P2_12_12_1
**ΔH_f (0 K)**: -0.55 eV per atom

***

No. 4
Material: Nd2Ho8Tl
Method: DFT, PBE
State: optimized geometry

abc: 9.3619 9.3619 7.8749
angles: 104.74 104.74 30.68
Last column: nearest neighbours and their distance in Å.
Positions (direct):
Nd (0.2216, 0.2216, 0.1350)  10 Ho 3.45-3.64, 2 Nd 3.59
Nd (0.7784, 0.7784, 0.8650)  10 Ho 3.45-3.64, 2 Nd 3.59
Ho (0.0443, 0.0443, 0.2227)  1 Nd 3.45, 9 Ho 3.45-3.54, 2 Tl 3.53
Ho (0.1340, 0.1340, 0.6745)  2 Tl 3.48, 7 Ho 3.48-3.58, 3 Nd 3.55-3.62
Ho (0.3194, 0.3194, 0.5911)  8 Ho 3.48-3.60, 3 Nd 3.49-3.56, 1 Tl 3.52
Ho (0.4112, 0.4112, 0.0561)  1 Tl 3.44, 8 Ho 3.46-3.60, 3 Nd 3.50-3.64
Ho (0.5888, 0.5888, 0.9439)  1 Tl 3.44, 8 Ho 3.46-3.60, 3 Nd 3.50-3.64
Ho (0.6806, 0.6806, 0.4089)  8 Ho 3.48-3.60, 3 Nd 3.49-3.56, 1 Tl 3.52
Ho (0.8660, 0.8660, 0.3255)  2 Tl 3.48, 7 Ho 3.48-3.58, 3 Nd 3.55-3.62
Ho (0.9557, 0.9557, 0.7773)  1 Nd 3.45, 9 Ho 3.45-3.54, 2 Tl 3.53
Tl (0.5000, 0.5000, 0.5000)  12 Ho 3.44-3.53

## Properties
**Final energy**: -4.4408 eV/atom
**Energy relative to the lowest polymorph listed for this composition**: 0 meV/atom
**Spin magnetization**: 0.0 μB per cell
**V**: 30.88 Å³/atom
**Space group**: C2/m
**ΔH_f (0 K)**: -0.03 eV per atom